A relaxed Ca2TaCuO6 crystal, computed with PBE.

Values from the calculation:
Its density of states at the Fermi level is 1.8 states/eV/f.u. For the magnetic moment, the calculation gives 0.0 μB per formula unit. As for the uncorrected formation energy: -2.356 eV/atom.

Structure (CIF):
```
data_Ca2TaCuO6
_chemical_formula_sum 'Ca4 Ta2 Cu2 O12'
_space_group_name_H-M_alt 'P 1 21/m 1'
_space_group_IT_number 11
_cell_length_a 5.6249
_cell_length_b 7.5617
_cell_length_c 5.8985
_cell_angle_alpha 90.00
_cell_angle_beta 99.97
_cell_angle_gamma 90.00
loop_
_space_group_symop_operation_xyz
'x,y,z'
'-x,-y,-z'
'-x,y+1/2,-z'
'x,-y+1/2,z'
loop_
_atom_site_label
_atom_site_type_symbol
_atom_site_fract_x
_atom_site_fract_y
_atom_site_fract_z
Ca1 Ca 0.0127 0.2500 0.0744
Ca2 Ca 0.4646 0.7500 0.4413
Ta1 Ta 0.5000 0.0000 0.0000
Cu1 Cu 0.0000 0.0000 0.5000
O1 O 0.1016 0.2500 0.4734
O2 O 0.2298 0.5491 0.1616
O3 O 0.2995 0.5467 0.6857
O4 O 0.3957 0.2500 0.9684
```

=====

A relaxed TaReBI2 crystal, computed with PBE.

Values from the calculation:
Its density of states at the Fermi level is 7.0 states/eV/f.u. For the magnetic moment, the calculation gives 0.0 μB per formula unit. The polymorph energy (0 for the lowest one) comes out at 0.005 eV per atom. As for the uncorrected formation energy: 1.742 eV/atom.

Structure (CIF):
```
data_TaReBI2
_chemical_formula_sum 'Ta1 Re1 B1 I2'
_space_group_name_H-M_alt 'P 4/m m m'
_space_group_IT_number 123
_space_group_name_Hall '-P 4 2'
_cell_length_a 5.3678
_cell_length_b 5.3678
_cell_length_c 3.9345
_cell_angle_alpha 90.00
_cell_angle_beta 90.00
_cell_angle_gamma 90.00
loop_
_atom_site_label
_atom_site_type_symbol
_atom_site_fract_x
_atom_site_fract_y
_atom_site_fract_z
Ta1 Ta 0.0000 0.0000 0.0000
Re1 Re 0.5000 0.5000 0.5000
B1 B 0.5000 0.5000 0.0000
I1 I 0.0000 0.5000 0.5000
```

=====

A relaxed Tc2NiIrN crystal, computed with PBE.

Values from the calculation:
Its density of states at the Fermi level is 4.8 states/eV/f.u. For the magnetic moment, the calculation gives 1.4 μB per formula unit. As for the uncorrected formation energy: 0.142 eV/atom.

Structure (CIF):
```
data_Tc2NiIrN
_chemical_formula_sum 'Tc2 Ni1 Ir1 N1'
_space_group_name_H-M_alt 'P 4/m m m'
_space_group_IT_number 123
_space_group_name_Hall '-P 4 2'
_cell_length_a 3.9929
_cell_length_b 3.9929
_cell_length_c 3.9145
_cell_angle_alpha 90.00
_cell_angle_beta 90.00
_cell_angle_gamma 90.00
loop_
_atom_site_label
_atom_site_type_symbol
_atom_site_fract_x
_atom_site_fract_y
_atom_site_fract_z
Tc1 Tc 0.0000 0.5000 0.0000
Ni1 Ni 0.0000 0.0000 0.5000
Ir1 Ir 0.5000 0.5000 0.5000
N1 N 0.0000 0.0000 0.0000
```

=====

A relaxed HgAsIr2 crystal, computed with PBE.

Values from the calculation:
Its density of states at the Fermi level is 3.1 states/eV/f.u. For the magnetic moment, the calculation gives 0.0 μB per formula unit. The value obtained for the formation energy is 160 kJ/mol of formula units. The polymorph energy (0 for the lowest one) comes out at 0.184 eV per atom.

Structure (CIF):
```
data_HgAsIr2
_chemical_formula_sum 'Hg1 As1 Ir2'
_space_group_name_H-M_alt 'P 1 2/m 1'
_space_group_IT_number 10
_cell_length_a 3.0180
_cell_length_b 4.1216
_cell_length_c 5.5682
_cell_angle_alpha 90.00
_cell_angle_beta 102.63
_cell_angle_gamma 90.00
loop_
_space_group_symop_operation_xyz
'x,y,z'
'-x,-y,-z'
'-x,y,-z'
'x,-y,z'
loop_
_atom_site_label
_atom_site_type_symbol
_atom_site_fract_x
_atom_site_fract_y
_atom_site_fract_z
Hg1 Hg 0.0000 0.0000 0.0000
As1 As 0.5000 0.0000 0.5000
Ir1 Ir 0.3719 0.5000 0.7294
```

=====

A relaxed KHIrAuCl crystal, computed with PBE.

Values from the calculation:
Its density of states at the Fermi level is 5.7 states/eV/f.u. For the magnetic moment, the calculation gives 0.1 μB per formula unit. The polymorph energy (0 for the lowest one) comes out at 0.072 eV per atom.

Structure (CIF):
```
data_KHIrAuCl
_chemical_formula_sum 'K2 H2 Ir2 Au2 Cl2'
_space_group_name_H-M_alt 'C 1 m 1'
_space_group_IT_number 8
_cell_length_a 8.2258
_cell_length_b 4.0519
_cell_length_c 7.4865
_cell_angle_alpha 90.00
_cell_angle_beta 112.17
_cell_angle_gamma 90.00
loop_
_space_group_symop_operation_xyz
'x,y,z'
'x,-y,z'
'x+1/2,y+1/2,z'
'x+1/2,-y+1/2,z'
loop_
_atom_site_label
_atom_site_type_symbol
_atom_site_fract_x
_atom_site_fract_y
_atom_site_fract_z
K1 K 0.0000 0.0000 0.0000
H1 H 0.3950 0.0000 0.1796
Ir1 Ir 0.4796 0.0000 0.4103
Au1 Au 0.2753 0.5000 0.3778
Cl1 Cl 0.1077 0.5000 0.7593
```

=====

A relaxed Dy2YTh3P6 crystal, computed with PBE.

Values from the calculation:
Its density of states at the Fermi level is 4.8 states/eV/f.u. For the magnetic moment, the calculation gives 0.0 μB per formula unit. The value obtained for the formation energy is -1841 kJ/mol of formula units.

Structure (CIF):
```
data_Dy2YTh3P6
_chemical_formula_sum 'Dy4 Y2 Th6 P12'
_space_group_name_H-M_alt 'C 1 2/m 1'
_space_group_IT_number 12
_cell_length_a 7.0897
_cell_length_b 12.2594
_cell_length_c 7.0250
_cell_angle_alpha 90.00
_cell_angle_beta 109.64
_cell_angle_gamma 90.00
loop_
_space_group_symop_operation_xyz
'x,y,z'
'-x,-y,-z'
'-x,y,-z'
'x,-y,z'
'x+1/2,y+1/2,z'
'-x+1/2,-y+1/2,-z'
'-x+1/2,y+1/2,-z'
'x+1/2,-y+1/2,z'
loop_
_atom_site_label
_atom_site_type_symbol
_atom_site_fract_x
_atom_site_fract_y
_atom_site_fract_z
Dy1 Dy 0.0000 0.1666 0.0000
Y1 Y 0.0000 0.5000 0.0000
Th1 Th 0.0000 0.0000 0.5000
Th2 Th 0.0000 0.3334 0.5000
P1 P 0.2473 0.0000 0.2431
P2 P 0.2478 0.3331 0.2431
```

=====

A relaxed Sn2PdPt crystal, computed with PBE.

Values from the calculation:
Its density of states at the Fermi level is 1.1 states/eV/f.u. For the magnetic moment, the calculation gives 0.0 μB per formula unit. The value obtained for the formation energy is -185 kJ/mol of formula units. The polymorph energy (0 for the lowest one) comes out at 0.000 eV per atom.

Structure (CIF):
```
data_Sn2PdPt
_chemical_formula_sum 'Sn4 Pd2 Pt2'
_space_group_name_H-M_alt 'P 1 21/m 1'
_space_group_IT_number 11
_cell_length_a 5.6911
_cell_length_b 4.1462
_cell_length_c 7.1370
_cell_angle_alpha 90.00
_cell_angle_beta 110.93
_cell_angle_gamma 90.00
loop_
_space_group_symop_operation_xyz
'x,y,z'
'-x,-y,-z'
'-x,y+1/2,-z'
'x,-y+1/2,z'
loop_
_atom_site_label
_atom_site_type_symbol
_atom_site_fract_x
_atom_site_fract_y
_atom_site_fract_z
Sn1 Sn 0.2055 0.2500 0.1793
Sn2 Sn 0.2085 0.2500 0.6810
Pd1 Pd 0.3210 0.7500 0.4620
Pt1 Pt 0.3163 0.7500 0.9668
```

=====

A relaxed InIr2PdBr crystal, computed with PBE.

Values from the calculation:
Its density of states at the Fermi level is 7.2 states/eV/f.u. For the magnetic moment, the calculation gives 3.4 μB per formula unit. As for the uncorrected formation energy: 1.411 eV/atom.

Structure (CIF):
```
data_InIr2PdBr
_chemical_formula_sum 'In1 Ir2 Pd1 Br1'
_space_group_name_H-M_alt 'P 4/m m m'
_space_group_IT_number 123
_space_group_name_Hall '-P 4 2'
_cell_length_a 4.9097
_cell_length_b 4.9097
_cell_length_c 5.1252
_cell_angle_alpha 90.00
_cell_angle_beta 90.00
_cell_angle_gamma 90.00
loop_
_atom_site_label
_atom_site_type_symbol
_atom_site_fract_x
_atom_site_fract_y
_atom_site_fract_z
In1 In 0.0000 0.0000 0.0000
Ir1 Ir 0.0000 0.5000 0.5000
Pd1 Pd 0.0000 0.0000 0.5000
Br1 Br 0.5000 0.5000 0.0000
```

=====

A relaxed Nd7Co3 crystal, computed with PBE.

Values from the calculation:
Its density of states at the Fermi level is 13.9 states/eV/f.u. For the magnetic moment, the calculation gives 0.0 μB per formula unit. The value obtained for the formation energy is -49 kJ/mol of formula units.

Structure (CIF):
```
data_Nd7Co3
_chemical_formula_sum 'Nd14 Co6'
_space_group_name_H-M_alt 'P 63 m c'
_space_group_IT_number 186
_space_group_name_Hall 'P 6c -2c'
_cell_length_a 9.8632
_cell_length_b 9.8632
_cell_length_c 6.3409
_cell_angle_alpha 90.00
_cell_angle_beta 90.00
_cell_angle_gamma 120.00
loop_
_atom_site_label
_atom_site_type_symbol
_atom_site_fract_x
_atom_site_fract_y
_atom_site_fract_z
Nd1 Nd 0.0795 0.5398 0.0000
Nd2 Nd 0.1256 0.2511 0.6862
Nd3 Nd 0.3333 0.6667 0.4569
Co1 Co 0.1874 0.3748 0.2380
```

=====

A relaxed Y2ThSe crystal, computed with PBE.

Values from the calculation:
Its density of states at the Fermi level is 3.8 states/eV/f.u. For the magnetic moment, the calculation gives 0.0 μB per formula unit. The polymorph energy (0 for the lowest one) comes out at 0.182 eV per atom. As for the uncorrected formation energy: -0.529 eV/atom.

Structure (CIF):
```
data_Y2ThSe
_chemical_formula_sum 'Y6 Th3 Se3'
_space_group_name_H-M_alt 'R -3 m'
_space_group_IT_number 166
_space_group_name_Hall '-R 3 2"'
_cell_length_a 3.6775
_cell_length_b 3.6775
_cell_length_c 31.3018
_cell_angle_alpha 90.00
_cell_angle_beta 90.00
_cell_angle_gamma 120.00
loop_
_atom_site_label
_atom_site_type_symbol
_atom_site_fract_x
_atom_site_fract_y
_atom_site_fract_z
Y1 Y 0.0000 0.0000 0.1079
Th1 Th 0.0000 0.0000 0.0000
Se1 Se 0.0000 0.0000 0.5000
```

=====

A relaxed Pr2AlSi3Au4 crystal, computed with PBE.

Values from the calculation:
Its density of states at the Fermi level is 3.6 states/eV/f.u. For the magnetic moment, the calculation gives 0.0 μB per formula unit. As for the uncorrected formation energy: -0.648 eV/atom.

Structure (CIF):
```
data_Pr2AlSi3Au4
_chemical_formula_sum 'Pr2 Al1 Si3 Au4'
_space_group_name_H-M_alt 'P -4 m 2'
_space_group_IT_number 115
_cell_length_a 4.3354
_cell_length_b 4.3354
_cell_length_c 10.5423
_cell_angle_alpha 90.00
_cell_angle_beta 90.00
_cell_angle_gamma 90.00
loop_
_space_group_symop_operation_xyz
'x,y,z'
'y,-x,-z'
'-x,-y,z'
'-y,x,-z'
'-x,y,z'
'-y,-x,-z'
'x,-y,z'
'y,x,-z'
loop_
_atom_site_label
_atom_site_type_symbol
_atom_site_fract_x
_atom_site_fract_y
_atom_site_fract_z
Pr1 Pr 0.0000 0.5000 0.2437
Al1 Al 0.0000 0.0000 0.5000
Si1 Si 0.0000 0.5000 0.8660
Si2 Si 0.5000 0.5000 0.5000
Au1 Au 0.0000 0.0000 0.0000
Au2 Au 0.0000 0.5000 0.6313
Au3 Au 0.5000 0.5000 0.0000
```